(1)
Compound: YInFeRe
Source: OQMD
Functional: PBE
Structure: optimized geometry

```
4
Lattice="0.000 3.306 3.306 3.306 0.000 3.306 3.306 3.306 0.000" Properties=species:S:1:pos:R:3 pbc="T T T"
Fe 4.959 4.959 4.959
In 0.000 0.000 0.000
Re 3.306 3.306 3.306
Y 1.653 1.653 1.653
```

Summary:
calculated volume	72.3	Å³ per cell
SG	F-43m
size of the total moment	3.3	μB/f.u.
mass density	10.24	g cm⁻³
E_tot	-27.933	eV per cell

---

(2)
Compound: NaYZnS3
Source: OQMD
Functional: PBE
Structure: optimized geometry

```
24
Lattice="11.146 0.000 0.000 0.000 3.966 0.000 0.000 0.000 11.469" Properties=species:S:1:pos:R:3 pbc="T T T"
Na 1.720 0.000 0.059
Na 7.293 0.000 5.676
Na 3.853 1.983 5.793
Na 9.426 1.983 11.410
S 6.705 0.000 0.737
S 10.542 0.000 1.785
S 2.433 1.983 2.075
S 8.006 1.983 3.659
S 4.969 0.000 3.949
S 1.132 0.000 4.997
S 10.014 1.983 6.471
S 6.177 1.983 7.520
S 3.140 0.000 7.810
S 8.713 0.000 9.394
S 0.604 1.983 9.684
S 4.441 1.983 10.732
Y 5.298 1.983 2.028
Y 10.871 1.983 3.707
Y 0.274 0.000 7.762
Y 5.847 0.000 9.441
Zn 8.314 0.000 2.393
Zn 2.741 0.000 3.342
Zn 8.405 1.983 8.127
Zn 2.832 1.983 9.076
```

Summary:
calculated volume	507.0	Å³ per cell
SG	Pnma
size of the total moment	0.0	μB/f.u.
mass density	3.58	g cm⁻³
E_tot	-119.493	eV per cell

---

(3)
Compound: NbPt2W
Source: OQMD
Functional: PBE
Structure: optimized geometry

```
4
Lattice="2.843 -0.962 3.373 2.943 3.111 1.429 -0.549 1.941 4.039" Properties=species:S:1:pos:R:3 pbc="T T T"
Nb 3.928 3.068 6.630
Pt 0.000 0.000 0.000
Pt 1.309 1.023 2.210
W 2.619 2.045 4.420
```

Summary:
calculated volume	65.1	Å³ per cell
SG	F-43m
size of the total moment	0.1	μB/f.u.
mass density	17.02	g cm⁻³
calculated formation energy	-0.105	eV/atom

---

(4)
Compound: PuBiW
Source: OQMD
Functional: PBE
Structure: optimized geometry

```
3
Lattice="1.761 -4.024 -1.808 0.793 -3.729 2.833 -2.750 -3.859 -0.328" Properties=species:S:1:pos:R:3 pbc="T T T"
Bi -0.049 -2.903 0.174
Pu 0.000 0.000 0.000
W -0.147 -8.709 0.523
```

Summary:
calculated volume	75.8	Å³ per cell
SG	F-43m
size of the total moment	3.2	μB/f.u.
mass density	13.96	g cm⁻³
E_tot	-27.104	eV per cell

---

(5)
Compound: Li2CdAg
Source: OQMD
Functional: PBE
Structure: optimized geometry

```
4
Lattice="0.000 3.241 3.241 3.241 0.000 3.241 3.241 3.241 0.000" Properties=species:S:1:pos:R:3 pbc="T T T"
Ag 0.000 0.000 0.000
Cd 1.620 1.620 1.620
Li 3.241 3.241 3.241
Li 4.861 4.861 4.861
```

Summary:
calculated volume	68.1	Å³ per cell
SG	F-43m
mass density	5.71	g cm⁻³
E_tot	-8.475	eV per cell

---

(6)
Compound: LiMgU
Source: OQMD
Functional: PBE
Structure: optimized geometry

```
3
Lattice="-1.049 -4.651 1.749 -4.510 -2.120 -0.973 -0.325 -3.911 -3.223" Properties=species:S:1:pos:R:3 pbc="T T T"
Li -1.471 -2.670 -0.612
Mg -4.414 -8.011 -1.835
U 0.000 0.000 0.000
```

Summary:
calculated volume	92.6	Å³ per cell
SG	F-43m
size of the total moment	4.0	μB/f.u.
mass density	4.83	g cm⁻³
E_tot	-10.318	eV per cell

---

(7)
Compound: Al2Ni
Source: OQMD
Functional: PBE
Structure: optimized geometry

```
30
Lattice="9.172 0.000 0.000 0.000 9.172 0.000 0.000 0.000 4.932" Properties=species:S:1:pos:R:3 pbc="T T T"
Al 6.895 0.374 0.000
Al 4.425 1.271 0.000
Al 8.798 2.277 0.000
Al 3.700 3.700 0.000
Al 1.271 4.425 0.000
Al 7.901 4.747 0.000
Al 5.472 5.472 0.000
Al 0.374 6.895 0.000
Al 4.747 7.901 0.000
Al 2.277 8.798 0.000
Al 5.856 0.161 2.466
Al 8.286 0.886 2.466
Al 4.212 2.309 2.466
Al 9.011 3.315 2.466
Al 2.309 4.212 2.466
Al 6.863 4.960 2.466
Al 0.161 5.856 2.466
Al 4.960 6.863 2.466
Al 0.886 8.286 2.466
Al 3.315 9.011 2.466
Ni 0.000 0.000 0.000
Ni 1.963 1.963 1.218
Ni 7.209 7.209 1.218
Ni 6.549 2.623 1.248
Ni 2.623 6.549 1.248
Ni 4.586 4.586 2.466
Ni 6.549 2.623 3.684
Ni 2.623 6.549 3.684
Ni 1.963 1.963 3.714
Ni 7.209 7.209 3.714
```

Summary:
calculated volume	414.9	Å³ per cell
SG	P4_2/mnm
size of the total moment	0.0	μB/f.u.
mass density	4.51	g cm⁻³
E_tot	-136.639	eV per cell

---

(8)
Compound: Sm7CoI12
Source: OQMD
Functional: PBE
Structure: optimized geometry

```
20
Lattice="-5.517 8.135 -1.185 -3.663 -4.820 7.834 9.080 3.047 2.510" Properties=species:S:1:pos:R:3 pbc="T T T"
Co 0.000 0.000 0.000
I -3.078 -1.216 5.215
I -2.516 2.407 2.861
I -1.952 5.852 0.318
I -5.032 4.807 5.781
I 0.909 0.234 4.408
I 1.506 3.769 1.959
I -1.606 2.593 7.200
I -1.009 6.128 4.751
I 4.932 1.555 3.378
I 1.851 0.510 8.841
I 2.416 3.955 6.298
I 2.978 7.579 3.944
Sm -1.395 -0.575 2.229
Sm -0.833 2.559 0.058
Sm 2.188 0.609 1.446
Sm -0.050 3.181 4.580
Sm -2.288 5.753 7.714
Sm 0.733 3.803 9.101
Sm 1.295 6.938 6.930
```

Summary:
calculated volume	813.2	Å³ per cell
SG	R-3
size of the total moment	0.1	μB/f.u.
mass density	5.38	g cm⁻³
E_tot	-83.163	eV per cell

---

(9)
Compound: Pm2OsO4
Source: OQMD
Functional: PBE
Structure: optimized geometry

```
14
Lattice="1.174 5.407 -4.037 5.163 -2.875 3.464 -2.853 -3.314 -5.272" Properties=species:S:1:pos:R:3 pbc="T T T"
O 3.579 -0.118 -1.863
O 3.024 -2.673 0.044
O 0.856 1.398 -3.691
O 0.388 -1.356 -1.705
O -0.492 -0.168 -6.181
O 2.034 -1.725 -4.466
O -0.961 -2.922 -4.195
O 1.479 -4.280 -2.559
Os 0.000 0.000 0.000
Os 2.749 1.790 -2.614
Pm 3.956 -0.542 0.425
Pm -0.052 -0.762 -3.943
Pm 0.535 1.942 -5.962
Pm 2.529 -2.199 -2.211
```

Summary:
calculated volume	227.2	Å³ per cell
SG	Fd-3m
size of the total moment	4.0	μB/f.u.
mass density	7.96	g cm⁻³
E_tot	-106.072	eV per cell

---

(10)
Compound: Sm2Ho2CBr2F3
Source: OQMD
Functional: PBE
Structure: optimized geometry

```
10
Lattice="-7.664 -2.287 -0.641 -6.339 -3.010 -3.891 3.097 -5.598 2.509" Properties=species:S:1:pos:R:3 pbc="T T T"
Br -0.690 -3.445 0.485
Br -10.215 -7.450 -2.508
C -7.001 -2.648 -2.266
F -11.212 -4.818 -3.500
F -5.453 -5.447 -1.012
F 0.306 -6.077 1.477
Ho -12.992 -6.429 -3.868
Ho 2.087 -4.466 1.845
Sm -8.802 -4.302 -2.633
Sm -2.103 -6.592 0.609
```

Summary:
calculated volume	187.3	Å³ per cell
SG	C2/m
size of the total moment	0.2	μB/f.u.
mass density	7.62	g cm⁻³
E_tot	-57.798	eV per cell

---

(11)
Compound: Zn2InSn2
Source: OQMD
Functional: PBE
Structure: optimized geometry

```
5
Lattice="-2.253 2.253 6.019 2.253 -2.253 6.019 2.253 2.253 -6.019" Properties=species:S:1:pos:R:3 pbc="T T T"
In 0.000 0.000 0.000
Sn 0.000 2.253 3.009
Sn 2.253 0.000 3.009
Zn 0.000 0.000 4.810
Zn 0.000 0.000 7.228
```

Summary:
calculated volume	122.2	Å³ per cell
SG	I4/mmm
mass density	6.57	g cm⁻³
E_tot	-12.790	eV per cell

---

(12)
Compound: NaNbAuSe3
Source: OQMD
Functional: PBE
Structure: optimized geometry

```
12
Lattice="7.100 -1.820 0.000 7.100 1.820 0.000 0.000 0.000 10.144" Properties=species:S:1:pos:R:3 pbc="T T T"
Au 7.863 0.000 2.536
Au 6.338 0.000 7.608
Na 3.360 0.000 2.536
Na 10.841 0.000 7.608
Nb 0.000 0.000 0.000
Nb 0.000 0.000 5.072
Se 9.024 0.000 0.308
Se 12.959 0.000 2.536
Se 9.024 0.000 4.765
Se 5.177 0.000 5.380
Se 1.241 0.000 7.608
Se 5.177 0.000 9.837
```

Summary:
calculated volume	262.2	Å³ per cell
SG	Cmcm
size of the total moment	0.3	μB/f.u.
mass density	6.96	g cm⁻³
E_tot	-56.873	eV per cell